[1]
A plane-wave DFT calculation with PBE was carried out for a relaxed CuReHg crystal.

Electronic total energy: -59.95 eV/cell
Energy relative to the lowest polymorph listed for this composition: 56 meV/atom
N(E_F): 6.04 states/eV per cell

a b c (Å): 3.109 4.525 13.829
angles (deg): 90.00 90.00 90.00
Space group Fmm2 (No. 42)
Inequivalent atoms, fractional coordinates:
Cu1 0.000 0.000 0.000 (multiplicity 4)
Re1 0.000 0.000 0.649 (multiplicity 4)
Hg1 0.000 0.000 0.333 (multiplicity 4)

---

[2]
A plane-wave DFT calculation with PBE was carried out for a relaxed Cu2ReHg crystal.

Electronic total energy: -19.44 eV/cell
N(E_F): 1.59 states/eV per cell

a b c (Å): 2.729 2.729 8.108
angles (deg): 90.00 90.00 90.00
Space group P4/mmm (No. 123)
Inequivalent atoms, fractional coordinates:
Cu1 0.000 0.000 0.230 (multiplicity 2)
Re1 0.500 0.500 0.000 (multiplicity 1)
Hg1 0.500 0.500 0.500 (multiplicity 1)

---

no.,calculated formation energy (meV per atom)
1,619
2,376